21
Lattice="5.2246 0.0000 0.0000 0.5977 7.7035 0.0000 2.3169 3.3816 6.8505" Properties=species:S:1:pos:R:3 comment="GGA+U Dy2CoTe2S2O14, optimized geometry" final_energy_ev_per_atom=-6.553 space_group="No. 2" pbc="T T T"
Dy 0.5581 1.9979 0.1134
Dy 7.5811 9.0872 6.7371
Co 1.1585 1.6908 3.4252
Te 4.5311 7.8428 4.4592
Te 3.6081 3.2423 2.3913
S 2.3311 6.6324 1.7450
S 5.8081 4.4527 5.1054
O 1.5590 5.3706 1.7824
O 2.1894 7.3925 3.0060
O 1.7338 7.3994 0.5933
O 3.7023 7.3394 6.1012
O 3.4682 9.4550 4.5399
O 2.1060 2.3174 1.6870
O 4.3710 4.7236 5.3159
O 3.7682 6.3615 1.5346
O 6.0332 8.7677 5.1635
O 4.6710 1.6301 2.3106
O 4.4369 3.7457 0.7493
O 6.4054 3.6857 6.2572
O 5.9498 3.6926 3.8444
O 6.5802 5.7145 5.0681